A plane-wave DFT calculation with PBE with a Hubbard U was carried out for crystalline VP2RhO at its relaxed geometry.

Summary:
distance to the lowest polymorph of the same formula: 0.0000 eV/atom
size of the total moment: 0.76 μB per formula unit
SG: P4/mmm

Cell and atoms, written as POSCAR:
```
VP2RhO
1.0
-2.358 -0.941 3.943
0.986 -4.557 -0.498
2.953 0.435 1.869
O P Rh V
1 2 1 1
direct
0.000 0.000 0.500 O
0.500 0.000 0.000 P
0.000 0.500 0.000 P
0.500 0.500 0.500 Rh
0.000 0.000 0.000 V
```